# 1
Computed, not measured: a geometry-optimized MnTe2Au structure at the PBE-GGA level of DFT.

Calculated values
Excess energy over the best structure of this formula in the dataset: 253 meV/atom
ΔE_f (raw): 163 meV/atom

abc: 7.328 4.211 5.635
angles: 90.00 90.07 90.00
Space group C2/m (No. 12)
Unique sites:
Mn (0.000, 0.000, 0.000) [2 per cell]
Te (0.167, 0.500, 0.801) [4 per cell]
Au (0.000, 0.000, 0.500) [2 per cell]

# 2
Computed, not measured: a geometry-optimized Li3Mg2Zn4 structure at the PBE-GGA level of DFT.

Calculated values
DFT formation energy: -0.1299 eV/atom

abc: 8.653 4.289 8.342
angles: 90.00 105.56 90.00
Space group C2/m (No. 12)
Unique sites:
Li (0.000, 0.000, 0.000) [2 per cell]
Li (0.163, 0.500, 0.564) [4 per cell]
Mg (0.164, 0.500, 0.220) [4 per cell]
Zn (0.001, 0.000, 0.343) [4 per cell]
Zn (0.170, 0.500, 0.887) [4 per cell]

Number 1: magnetic moment 0.0 μB per cell. Number 2: magnetic moment 0.0 μB per cell.